1.
ScNbN2O at its PBEsol-relaxed geometry. Source: Alexandria, functional meta-GGA SCAN.

a = 4.047 Å, b = 4.047 Å, c = 3.871 Å
α = 90.00°, β = 90.00°, γ = 90.00°
Space group P4/mmm (No. 123)
Asymmetric unit:
Sc 0.000 0.000 0.000 x1
Nb 0.500 0.500 0.500 x1
N 0.000 0.500 0.500 x2
O 0.500 0.500 0.000 x1

Raw total energy   -15.71 eV per atom
ΔE_f (raw)   -1.273 eV per atom
Crystal system   tetragonal

2.
BeZnMo2 at its PBEsol-relaxed geometry. Source: Alexandria, functional meta-GGA SCAN.

a = 3.244 Å, b = 4.167 Å, c = 7.894 Å
α = 90.00°, β = 90.00°, γ = 90.00°
Space group Cmm2 (No. 35)
Asymmetric unit:
Be 0.000 0.000 0.000 x2
Zn 0.000 0.500 0.782 x2
Mo 0.000 0.000 0.511 x2
Mo 0.000 0.500 0.228 x2

Raw total energy   -21.81 eV per atom
Crystal system   orthorhombic
Distance to the lowest polymorph of the same formula   12 meV per atom

3.
CaMnSe at its PBEsol-relaxed geometry. Source: Alexandria, functional meta-GGA SCAN.

a = 6.815 Å, b = 6.815 Å, c = 6.815 Å
α = 90.00°, β = 90.00°, γ = 90.00°
Space group F-43m (No. 216)
Asymmetric unit:
Ca 0.000 0.000 0.000 x4
Mn 0.250 0.250 0.750 x4
Se 0.250 0.250 0.250 x4

Raw total energy   -16.25 eV per atom
ΔE_f (raw)   -0.247 eV per atom
Crystal system   cubic

4.
Co2TcPt at its PBEsol-relaxed geometry. Source: Alexandria, functional meta-GGA SCAN.

a = 2.573 Å, b = 4.265 Å, c = 4.704 Å
α = 90.00°, β = 91.34°, γ = 90.00°
Space group P2/m (No. 10)
Asymmetric unit:
Co 0.163 0.000 0.233 x2
Tc 0.500 0.500 0.000 x1
Pt 0.000 0.500 0.500 x1

Raw total energy   -34.88 eV per atom
Crystal system   monoclinic
Distance to the lowest polymorph of the same formula   109 meV per atom

5.
NdGe2Ir2 at its PBEsol-relaxed geometry. Source: Alexandria, functional meta-GGA SCAN.

a = 4.229 Å, b = 4.229 Å, c = 10.053 Å
α = 90.00°, β = 90.00°, γ = 90.00°
Space group P4/nmm (No. 129, origin choice 2)
Asymmetric unit:
Nd 0.250 0.250 0.246 x2
Ge 0.250 0.250 0.632 x2
Ge 0.250 0.750 0.000 x2
Ir 0.250 0.250 0.872 x2
Ir 0.250 0.750 0.500 x2

Raw total energy   -45.76 eV per atom
Crystal system   tetragonal

6.
Er2Ni2Sn at its PBEsol-relaxed geometry. Source: Alexandria, functional meta-GGA SCAN.

a = 7.185 Å, b = 7.185 Å, c = 3.581 Å
α = 90.00°, β = 90.00°, γ = 90.00°
Space group P4/mbm (No. 127)
Asymmetric unit:
Er 0.174 0.326 0.000 x4
Ni 0.121 0.621 0.500 x4
Sn 0.000 0.000 0.500 x2

Raw total energy   -34.45 eV per atom
Crystal system   tetragonal

7.
Mg2PtBr at its PBEsol-relaxed geometry. Source: Alexandria, functional meta-GGA SCAN.

a = 3.264 Å, b = 3.264 Å, c = 7.230 Å
α = 90.00°, β = 90.00°, γ = 90.00°
Space group P4/mmm (No. 123)
Asymmetric unit:
Mg 0.000 0.000 0.204 x2
Pt 0.500 0.500 0.000 x1
Br 0.500 0.500 0.500 x1

Raw total energy   -25.75 eV per atom
ΔE_f (raw)   -0.851 eV per atom
Crystal system   tetragonal
Distance to the lowest polymorph of the same formula   81 meV per atom

8.
PbSe3 at its PBEsol-relaxed geometry. Source: Alexandria, functional meta-GGA SCAN.

a = 12.302 Å, b = 4.144 Å, c = 4.145 Å
α = 90.00°, β = 109.59°, γ = 90.00°
Space group C2/m (No. 12)
Asymmetric unit:
Pb 0.000 0.000 0.000 x2
Se 0.000 0.500 0.500 x2
Se 0.246 0.500 0.746 x4

Raw total energy   -34.04 eV per atom
ΔE_f (raw)   -0.039 eV per atom
Crystal system   monoclinic

9.
CeCu4P2 at its PBEsol-relaxed geometry. Source: Alexandria, functional meta-GGA SCAN.

a = 10.764 Å, b = 14.462 Å, c = 3.803 Å
α = 90.00°, β = 90.00°, γ = 90.00°
Space group Pnnm (No. 58)
Asymmetric unit:
Ce 0.000 0.000 0.000 x2
Ce 0.123 0.272 0.000 x4
Cu 0.067 0.564 0.000 x4
Cu 0.077 0.831 0.500 x4
Cu 0.101 0.446 0.500 x4
Cu 0.173 0.713 0.000 x4
Cu 0.237 0.965 0.500 x4
Cu 0.241 0.588 0.500 x4
P 0.056 0.666 0.500 x4
P 0.131 0.115 0.500 x4
P 0.206 0.870 0.000 x4

Raw total energy   -18.60 eV per atom
Crystal system   orthorhombic

10.
BeTl2Pt at its PBEsol-relaxed geometry. Source: Alexandria, functional meta-GGA SCAN.

a = 3.586 Å, b = 3.586 Å, c = 5.727 Å
α = 90.00°, β = 90.00°, γ = 90.00°
Space group P4/mmm (No. 123)
Asymmetric unit:
Be 0.000 0.000 0.000 x1
Tl 0.500 0.500 0.247 x2
Pt 0.000 0.000 0.500 x1

Raw total energy   -54.37 eV per atom
Crystal system   tetragonal
Distance to the lowest polymorph of the same formula   425 meV per atom

11.
TbSi3Rh at its PBEsol-relaxed geometry. Source: Alexandria, functional meta-GGA SCAN.

a = 4.136 Å, b = 4.136 Å, c = 9.700 Å
α = 90.00°, β = 90.00°, γ = 90.00°
Space group I4mm (No. 107)
Asymmetric unit:
Tb 0.000 0.000 0.000 x2
Si 0.000 0.000 0.583 x2
Si 0.000 0.500 0.234 x4
Rh 0.000 0.000 0.346 x2

Raw total energy   -22.96 eV per atom
ΔE_f (raw)   -0.844 eV per atom
Crystal system   tetragonal

12.
YRuSe2 at its PBEsol-relaxed geometry. Source: Alexandria, functional meta-GGA SCAN.

a = 3.889 Å, b = 3.889 Å, c = 9.752 Å
α = 90.00°, β = 90.00°, γ = 90.00°
Space group I-4m2 (No. 119)
Asymmetric unit:
Y 0.000 0.000 0.000 x2
Ru 0.000 0.500 0.250 x2
Se 0.000 0.000 0.500 x2
Se 0.000 0.500 0.750 x2

Raw total energy   -26.21 eV per atom
ΔE_f (raw)   -0.501 eV per atom
Crystal system   tetragonal
Distance to the lowest polymorph of the same formula   25 meV per atom

13.
Sr2HgRu at its PBEsol-relaxed geometry. Source: Alexandria, functional meta-GGA SCAN.

a = 3.6904 Å, b = 3.6904 Å, c = 27.9338 Å
α = 90.00°, β = 90.00°, γ = 120.00°
Space group R-3m (No. 166, hexagonal axes)
Asymmetric unit:
Sr 0.0000 0.0000 0.2389 x6
Hg 0.0000 0.0000 0.0000 x3
Ru 0.0000 0.0000 0.5000 x3

Raw total energy   -36.57 eV per atom
Crystal system   trigonal

14.
CdPt at its PBEsol-relaxed geometry. Source: Alexandria, functional meta-GGA SCAN.

a = 4.057 Å, b = 4.057 Å, c = 8.156 Å
α = 90.00°, β = 90.00°, γ = 90.00°
Space group I4_1/amd (No. 141, origin choice 2)
Asymmetric unit:
Cd 0.000 0.250 0.375 x4
Pt 0.000 0.250 0.875 x4

Raw total energy   -50.55 eV per atom
Crystal system   tetragonal

15.
MnRh2Pb at its PBEsol-relaxed geometry. Source: Alexandria, functional meta-GGA SCAN.

a = 3.205 Å, b = 3.205 Å, c = 6.119 Å
α = 90.00°, β = 90.00°, γ = 90.00°
Space group P4/mmm (No. 123)
Asymmetric unit:
Mn 0.000 0.000 0.000 x1
Rh 0.500 0.500 0.231 x2
Pb 0.000 0.000 0.500 x1

Raw total energy   -40.59 eV per atom
Crystal system   tetragonal

16.
Mg2SbTe at its PBEsol-relaxed geometry. Source: Alexandria, functional meta-GGA SCAN.

a = 4.312 Å, b = 5.896 Å, c = 7.993 Å
α = 90.00°, β = 90.00°, γ = 90.00°
Space group Cmmm (No. 65)
Asymmetric unit:
Mg 0.000 0.000 0.243 x4
Sb 0.000 0.500 0.500 x2
Te 0.000 0.500 0.000 x2

Raw total energy   -21.35 eV per atom
ΔE_f (raw)   -0.236 eV per atom
Crystal system   orthorhombic
Distance to the lowest polymorph of the same formula   283 meV per atom

17.
SmTl at its PBEsol-relaxed geometry. Source: Alexandria, functional meta-GGA SCAN.

a = 3.788 Å, b = 3.788 Å, c = 3.788 Å
α = 90.00°, β = 90.00°, γ = 90.00°
Space group Pm-3m (No. 221)
Asymmetric unit:
Sm 0.000 0.000 0.000 x1
Tl 0.500 0.500 0.500 x1

Raw total energy   -58.99 eV per atom
Crystal system   cubic

18.
YZrN2O at its PBEsol-relaxed geometry. Source: Alexandria, functional meta-GGA SCAN.

a = 4.188 Å, b = 4.188 Å, c = 4.099 Å
α = 90.00°, β = 90.00°, γ = 90.00°
Space group P4/mmm (No. 123)
Asymmetric unit:
Y 0.000 0.000 0.000 x1
Zr 0.500 0.500 0.500 x1
N 0.000 0.500 0.000 x2
O 0.000 0.000 0.500 x1

Raw total energy   -17.13 eV per atom
ΔE_f (raw)   -0.458 eV per atom
Crystal system   tetragonal

19.
AlRh2Pb at its PBEsol-relaxed geometry. Source: Alexandria, functional meta-GGA SCAN.

a = 3.234 Å, b = 3.899 Å, c = 10.565 Å
α = 90.00°, β = 90.00°, γ = 90.00°
Space group Imm2 (No. 44)
Asymmetric unit:
Al 0.000 0.000 0.000 x2
Rh 0.000 0.000 0.447 x2
Rh 0.000 0.500 0.673 x2
Pb 0.000 0.500 0.255 x2

Raw total energy   -38.11 eV per atom
Crystal system   orthorhombic

20.
Cs2KHg2 at its PBEsol-relaxed geometry. Source: Alexandria, functional meta-GGA SCAN.

a = 10.481 Å, b = 10.481 Å, c = 4.222 Å
α = 90.00°, β = 90.00°, γ = 90.00°
Space group P4/mbm (No. 127)
Asymmetric unit:
Cs 0.140 0.360 0.000 x4
K 0.000 0.000 0.000 x2
Hg 0.154 0.654 0.500 x4

Raw total energy   -44.21 eV per atom
Crystal system   tetragonal
Distance to the lowest polymorph of the same formula   7 meV per atom

21.
SrMoAu2Br at its PBEsol-relaxed geometry. Source: Alexandria, functional meta-GGA SCAN.

a = 5.423 Å, b = 5.423 Å, c = 6.719 Å
α = 90.00°, β = 90.00°, γ = 90.00°
Space group P4/mmm (No. 123)
Asymmetric unit:
Sr 0.000 0.000 0.000 x1
Mo 0.000 0.000 0.500 x1
Au 0.000 0.500 0.000 x2
Br 0.500 0.500 0.500 x1

Raw total energy   -41.83 eV per atom
ΔE_f (raw)   1.158 eV per atom
Crystal system   tetragonal

22.
BaSr2Pd2 at its PBEsol-relaxed geometry. Source: Alexandria, functional meta-GGA SCAN.

a = 8.168 Å, b = 8.168 Å, c = 4.485 Å
α = 90.00°, β = 90.00°, γ = 90.00°
Space group P4/mbm (No. 127)
Asymmetric unit:
Ba 0.000 0.000 0.000 x2
Sr 0.159 0.341 0.500 x4
Pd 0.120 0.620 0.000 x4

Raw total energy   -30.42 eV per atom
Crystal system   tetragonal

23.
CuIr2 at its PBEsol-relaxed geometry. Source: Alexandria, functional meta-GGA SCAN.

a = 3.746 Å, b = 11.330 Å, c = 3.757 Å
α = 90.00°, β = 90.00°, γ = 90.00°
Space group Cmcm (No. 63)
Asymmetric unit:
Cu 0.000 0.079 0.250 x4
Ir 0.000 0.246 0.750 x4
Ir 0.000 0.417 0.250 x4

Raw total energy   -52.35 eV per atom
Crystal system   orthorhombic
Distance to the lowest polymorph of the same formula   56 meV per atom

24.
Li2OsCl at its PBEsol-relaxed geometry. Source: Alexandria, functional meta-GGA SCAN.

a = 2.8358 Å, b = 2.8358 Å, c = 23.3641 Å
α = 90.00°, β = 90.00°, γ = 120.00°
Space group R-3m (No. 166, hexagonal axes)
Asymmetric unit:
Li 0.0000 0.0000 0.2364 x6
Os 0.0000 0.0000 0.0000 x3
Cl 0.0000 0.0000 0.5000 x3

Raw total energy   -21.56 eV per atom
ΔE_f (raw)   -0.397 eV per atom
Crystal system   trigonal
Distance to the lowest polymorph of the same formula   0 meV per atom

25.
LaSnPSe2 at its PBEsol-relaxed geometry. Source: Alexandria, functional meta-GGA SCAN.

a = 5.172 Å, b = 5.172 Å, c = 4.942 Å
α = 90.00°, β = 90.00°, γ = 90.00°
Space group P4/mmm (No. 123)
Asymmetric unit:
La 0.000 0.000 0.000 x1
Sn 0.500 0.500 0.500 x1
P 0.500 0.500 0.000 x1
Se 0.000 0.500 0.500 x2

Raw total energy   -26.43 eV per atom
ΔE_f (raw)   -0.518 eV per atom
Crystal system   tetragonal